P.
DFT (PBE) results for a relaxed CdBi3C crystal.

a b c (Å): 5.060 5.060 5.060
angles (deg): 90.00 90.00 90.00
Space group Pm-3m (No. 221)
Symmetry-distinct sites (fractional):
Cd 0.000 0.000 0.000 (multiplicity 1)
Bi 0.000 0.500 0.500 (multiplicity 3)
C 0.500 0.500 0.500 (multiplicity 1)

Q.
DFT (PBE) results for a relaxed CdBi3C crystal.

a b c (Å): 5.675 5.675 5.675
angles (deg): 90.00 90.00 90.00
Space group Pm-3m (No. 221)
Symmetry-distinct sites (fractional):
Cd 0.000 0.000 0.000 (multiplicity 1)
Bi 0.000 0.000 0.500 (multiplicity 3)
C 0.500 0.500 0.500 (multiplicity 1)

The energetic minimum among the shown structures is P; the next structure lies 1061 meV per atom above.